[1]
# VGa2Ir (GGA-PBE, optimized geometry)
data_VGa2Ir
_chemical_formula_sum 'V3 Ga6 Ir3'
_cell_length_a 4.2732
_cell_length_b 4.2732
_cell_length_c 12.2077
_cell_angle_alpha 90.00
_cell_angle_beta 90.00
_cell_angle_gamma 120.00
_symmetry_space_group_name_H-M 'R 3 m'
_symmetry_Int_Tables_number 160
_symmetry_space_group_name_Hall 'R 3 -2"'
loop_
_atom_site_label
_atom_site_type_symbol
_atom_site_fract_x
_atom_site_fract_y
_atom_site_fract_z
V1 V 0.0000 0.0000 0.0000
Ga1 Ga 0.0000 0.0000 0.5758
Ga2 Ga 0.0000 0.0000 0.7814
Ir1 Ir 0.0000 0.0000 0.2043
# crystal system	trigonal
# ΔH_f (0 K)	-185	meV/atom



[2]
# LaPm2Sm2Dy (GGA-PBE, optimized geometry)
data_LaPm2Sm2Dy
_chemical_formula_sum 'La2 Pm4 Sm4 Dy2'
_cell_length_a 6.7180
_cell_length_b 18.0401
_cell_length_c 3.4368
_cell_angle_alpha 90.00
_cell_angle_beta 90.00
_cell_angle_gamma 90.00
_symmetry_space_group_name_H-M 'P n n m'
_symmetry_Int_Tables_number 58
loop_
_symmetry_equiv_pos_as_xyz
'x,y,z'
'-x,-y,-z'
'-x,-y,z'
'x,y,-z'
'x+1/2,-y+1/2,-z+1/2'
'-x+1/2,y+1/2,z+1/2'
'-x+1/2,y+1/2,-z+1/2'
'x+1/2,-y+1/2,z+1/2'
loop_
_atom_site_label
_atom_site_type_symbol
_atom_site_fract_x
_atom_site_fract_y
_atom_site_fract_z
La1 La 0.0000 0.0000 0.0000
Pm1 Pm 0.2205 0.3506 0.5000
Sm1 Sm 0.2258 0.1826 0.0000
Dy1 Dy 0.0000 0.5000 0.0000
# crystal system	orthorhombic
# ΔH_f (0 K)	247	meV/atom



[3]
# Tl2RuBr4F2 (GGA-PBE, optimized geometry)
data_Tl2RuBr4F2
_chemical_formula_sum 'Tl4 Ru2 Br8 F4'
_cell_length_a 11.7091
_cell_length_b 7.4887
_cell_length_c 6.5090
_cell_angle_alpha 90.00
_cell_angle_beta 111.48
_cell_angle_gamma 90.00
_symmetry_space_group_name_H-M 'C 1 2/m 1'
_symmetry_Int_Tables_number 12
loop_
_symmetry_equiv_pos_as_xyz
'x,y,z'
'-x,-y,-z'
'-x,y,-z'
'x,-y,z'
'x+1/2,y+1/2,z'
'-x+1/2,-y+1/2,-z'
'-x+1/2,y+1/2,-z'
'x+1/2,-y+1/2,z'
loop_
_atom_site_label
_atom_site_type_symbol
_atom_site_fract_x
_atom_site_fract_y
_atom_site_fract_z
Tl1 Tl 0.1940 0.0000 0.2627
Ru1 Ru 0.0000 0.5000 0.0000
Br1 Br 0.0774 0.2602 0.8140
F1 F 0.1548 0.5000 0.2463
# crystal system	monoclinic
# energy relative to the elements, uncorrected	-22.163	kcal/mol of atoms



[4]
# MgTaO4 (GGA-PBE, optimized geometry)
data_MgTaO4
_chemical_formula_sum 'Mg4 Ta4 O16'
_cell_length_a 6.0126
_cell_length_b 11.6300
_cell_length_c 5.5573
_cell_angle_alpha 90.00
_cell_angle_beta 117.15
_cell_angle_gamma 90.00
_symmetry_space_group_name_H-M 'C 1 2/c 1'
_symmetry_Int_Tables_number 15
loop_
_symmetry_equiv_pos_as_xyz
'x,y,z'
'-x,-y,-z'
'-x,y,-z+1/2'
'x,-y,z+1/2'
'x+1/2,y+1/2,z'
'-x+1/2,-y+1/2,-z'
'-x+1/2,y+1/2,-z+1/2'
'x+1/2,-y+1/2,z+1/2'
loop_
_atom_site_label
_atom_site_type_symbol
_atom_site_fract_x
_atom_site_fract_y
_atom_site_fract_z
Mg1 Mg 0.0000 0.2030 0.2500
Ta1 Ta 0.0000 0.0947 0.7500
O1 O 0.1660 0.0547 0.1437
O2 O 0.2144 0.1962 0.7012
# crystal system	monoclinic
# energy relative to the elements, uncorrected	-54.027	kcal/mol of atoms



[5]
# Ba3ReO6F2 (GGA-PBE, optimized geometry)
data_Ba3ReO6F2
_chemical_formula_sum 'Ba6 Re2 O12 F4'
_cell_length_a 12.7877
_cell_length_b 7.2710
_cell_length_c 5.4412
_cell_angle_alpha 90.00
_cell_angle_beta 91.53
_cell_angle_gamma 90.00
_symmetry_space_group_name_H-M 'C 1 2/m 1'
_symmetry_Int_Tables_number 12
loop_
_symmetry_equiv_pos_as_xyz
'x,y,z'
'-x,-y,-z'
'-x,y,-z'
'x,-y,z'
'x+1/2,y+1/2,z'
'-x+1/2,-y+1/2,-z'
'-x+1/2,y+1/2,-z'
'x+1/2,-y+1/2,z'
loop_
_atom_site_label
_atom_site_type_symbol
_atom_site_fract_x
_atom_site_fract_y
_atom_site_fract_z
Ba1 Ba 0.0000 0.0000 0.0000
Ba2 Ba 0.2500 0.2500 0.5000
Re1 Re 0.0000 0.5000 0.5000
O1 O 0.0549 0.3074 0.3000
O2 O 0.1280 0.5000 0.6824
F1 F 0.1736 0.0000 0.7789
# crystal system	monoclinic
# energy relative to the elements, uncorrected	-54.109	kcal/mol of atoms



[6]
# Tb2SmHo6Er (GGA-PBE, optimized geometry)
data_Tb2SmHo6Er
_chemical_formula_sum 'Tb8 Sm4 Ho24 Er4'
_cell_length_a 9.0098
_cell_length_b 14.9778
_cell_length_c 9.5270
_cell_angle_alpha 90.00
_cell_angle_beta 97.67
_cell_angle_gamma 90.00
_symmetry_space_group_name_H-M 'C 1 2/c 1'
_symmetry_Int_Tables_number 15
loop_
_symmetry_equiv_pos_as_xyz
'x,y,z'
'-x,-y,-z'
'-x,y,-z+1/2'
'x,-y,z+1/2'
'x+1/2,y+1/2,z'
'-x+1/2,-y+1/2,-z'
'-x+1/2,y+1/2,-z+1/2'
'x+1/2,-y+1/2,z+1/2'
loop_
_atom_site_label
_atom_site_type_symbol
_atom_site_fract_x
_atom_site_fract_y
_atom_site_fract_z
Tb1 Tb 0.2501 0.0525 0.0447
Sm1 Sm 0.0000 0.0229 0.7500
Ho1 Ho 0.0633 0.1880 0.4431
Ho2 Ho 0.1012 0.3926 0.6192
Ho3 Ho 0.2061 0.2247 0.8154
Er1 Er 0.0000 0.4090 0.2500
# crystal system	monoclinic
# ΔH_f (0 K)	119	meV/atom



[7]
# La2ThSi6 (GGA-PBE, optimized geometry)
data_La2ThSi6
_chemical_formula_sum 'La2 Th1 Si6'
_cell_length_a 7.1638
_cell_length_b 7.1638
_cell_length_c 4.2911
_cell_angle_alpha 90.00
_cell_angle_beta 90.00
_cell_angle_gamma 120.00
_symmetry_space_group_name_H-M 'P 6/m m m'
_symmetry_Int_Tables_number 191
_symmetry_space_group_name_Hall '-P 6 2'
loop_
_atom_site_label
_atom_site_type_symbol
_atom_site_fract_x
_atom_site_fract_y
_atom_site_fract_z
La1 La 0.3333 0.6667 0.0000
Th1 Th 0.0000 0.0000 0.0000
Si1 Si 0.0000 0.3312 0.5000
# crystal system	hexagonal
# energy relative to the elements, uncorrected	-14.616	kcal/mol of atoms



[8]
# Ni2WC (GGA-PBE, optimized geometry)
data_Ni2WC
_chemical_formula_sum 'Ni8 W4 C4'
_cell_length_a 6.3972
_cell_length_b 6.3972
_cell_length_c 4.3752
_cell_angle_alpha 90.00
_cell_angle_beta 90.00
_cell_angle_gamma 90.00
_symmetry_space_group_name_H-M 'I -4 2 d'
_symmetry_Int_Tables_number 122
_symmetry_space_group_name_Hall 'I -4 2bw'
loop_
_atom_site_label
_atom_site_type_symbol
_atom_site_fract_x
_atom_site_fract_y
_atom_site_fract_z
Ni1 Ni 0.1524 0.7500 0.1250
W1 W 0.0000 0.0000 0.5000
C1 C 0.0000 0.0000 0.0000
# crystal system	tetragonal
# ΔH_f (0 K)	415	meV/atom